AcErBi3: optimized geometry, GGA-PBE.

Computed properties:
ΔE_f (meV/atom): -212.3
Calculated density (kg/m³): 8701
M_tot (μB/cell): 0.00
E_tot (eV/atom): -4.275
SG: Pm-3m (221)

abc: 5.7979 5.7979 5.7979
angles: 90.00 90.00 90.00
Atoms (fractional coordinates):
Ac 0.5000 0.5000 0.5000
Bi 0.0000 0.5000 0.0000
Bi 0.0000 0.0000 0.5000
Bi 0.5000 0.0000 0.0000
Er 0.0000 0.0000 0.0000

=====

AcEr3Bi4: optimized geometry, GGA-PBE.

Computed properties:
ΔE_f (meV/atom): -826.9
Calculated density (kg/m³): 9662
M_tot (μB/cell): 0.00
E_tot (eV/atom): -4.992
SG: Cmmm (65)

abc: 4.5691 7.9002 7.9002
angles: 70.56 90.00 90.00
Atoms (fractional coordinates):
Ac 0.5000 0.5002 0.9999
Bi 0.0000 0.7672 0.7328
Bi 0.5001 0.7585 0.2585
Bi 0.0000 0.2331 0.2670
Bi 0.4998 0.2416 0.7416
Er 0.5000 0.0001 0.4999
Er 0.9999 0.0001 0.0000
Er 0.0000 0.5001 0.5000

=====

AcErBi2: optimized geometry, GGA-PBE.

Computed properties:
ΔE_f (meV/atom): -889.9
Calculated density (kg/m³): 9396
M_tot (μB/cell): 0.00
E_tot (eV/atom): -4.998
SG: C2/m (12)
Energy relative to the lowest polymorph listed for this composition (meV per atom): 0

abc: 4.6712 4.6712 8.0592
angles: 73.12 73.12 60.04
Atoms (fractional coordinates):
Ac 0.5000 0.5000 0.5000
Er 0.0000 0.0000 0.0000
Bi 0.7415 0.7415 0.7754
Bi 0.2585 0.2585 0.2246

=====

Ac3ErBi4: optimized geometry, GGA-PBE.

Computed properties:
ΔE_f (meV/atom): -926.2
Calculated density (kg/m³): 9054
M_tot (μB/cell): 0.00
E_tot (eV/atom): -4.978
SG: P2/c (13)

abc: 8.2788 8.2694 9.5739
angles: 90.00 90.00 109.52
Atoms (fractional coordinates):
Ac 0.7500 0.0000 0.3729
Ac 0.2500 0.0000 0.6271
Ac 0.7500 0.5000 0.6280
Ac 0.7500 0.5000 0.1237
Ac 0.2500 0.5000 0.3720
Ac 0.2500 0.5000 0.8763
Bi 0.9909 0.2421 0.6336
Bi 0.5007 0.2322 0.8845
Bi 0.4909 0.2421 0.3664
Bi 0.0007 0.2322 0.1155
Bi 0.9993 0.7678 0.8845
Bi 0.5091 0.7579 0.6336
Bi 0.4993 0.7678 0.1155
Bi 0.0091 0.7579 0.3664
Er 0.7500 0.0000 0.8765
Er 0.2500 0.0000 0.1235

=====

AcErBi2: optimized geometry, GGA-PBE.

Computed properties:
ΔE_f (meV/atom): -640.3
Calculated density (kg/m³): 10351
M_tot (μB/cell): 0.00
E_tot (eV/atom): -4.749
SG: P4/mmm (123)
Energy relative to the lowest polymorph listed for this composition (meV per atom): 250

abc: 3.9798 3.9798 8.2266
angles: 90.00 90.00 90.00
Atoms (fractional coordinates):
Ac 0.5000 0.5000 0.5000
Bi 0.0000 0.0000 0.7755
Bi 0.0000 0.0000 0.2245
Er 0.5000 0.5000 0.0000

=====

AcErBi2: optimized geometry, GGA-PBE.

Computed properties:
ΔE_f (meV/atom): -178.9
Calculated density (kg/m³): 8803
M_tot (μB/cell): 0.00
E_tot (eV/atom): -4.287
SG: R-3m (166)
Energy relative to the lowest polymorph listed for this composition (meV per atom): 711

abc: 3.9877 3.9877 11.3610
angles: 79.89 79.89 60.00
Atoms (fractional coordinates):
Ac 0.0000 0.0000 0.0000
Bi 0.1004 0.1004 0.6990
Bi 0.8996 0.8996 0.3010
Er 0.5000 0.5000 0.5000

=====

AcErBi2: optimized geometry, GGA-PBE.

Computed properties:
ΔE_f (meV/atom): -631.1
Calculated density (kg/m³): 10278
M_tot (μB/cell): 0.00
E_tot (eV/atom): -4.739
SG: Fm-3m (225)
Energy relative to the lowest polymorph listed for this composition (meV per atom): 259

abc: 5.7040 5.7040 5.7040
angles: 60.00 60.00 60.00
Atoms (fractional coordinates):
Ac 0.5000 0.5000 0.5000
Bi 0.2500 0.2500 0.2500
Bi 0.7500 0.7500 0.7500
Er 0.0000 0.0000 0.0000

=====

AcEr4Bi5: optimized geometry, GGA-PBE.

Computed properties:
ΔE_f (meV/atom): -828.5
Calculated density (kg/m³): 9765
M_tot (μB/cell): 0.00
E_tot (eV/atom): -5.005
SG: C2/m (12)

abc: 4.5380 7.8470 10.1512
angles: 75.12 77.08 73.19
Atoms (fractional coordinates):
Ac 0.0000 0.0000 0.0000
Er 0.5940 0.2077 0.6043
Er 0.2029 0.3857 0.2085
Er 0.7971 0.6143 0.7915
Er 0.4060 0.7923 0.3957
Bi 0.2055 0.9049 0.6840
Bi 0.7945 0.0951 0.3160
Bi 0.3886 0.3293 0.8935
Bi 0.0000 0.5000 0.5000
Bi 0.6114 0.6707 0.1065

=====

Ac2HoErBi4: optimized geometry, GGA-PBE.

Computed properties:
ΔE_f (meV/atom): -896.1
Calculated density (kg/m³): 9358
M_tot (μB/cell): 0.00
E_tot (eV/atom): -5.006
SG: P2/m (10)

abc: 4.6759 8.0933 8.0696
angles: 109.52 90.00 90.00
Atoms (fractional coordinates):
Ac 0.5000 0.0000 0.5000
Ac 0.0000 0.5000 0.5000
Ho 0.5000 0.5000 0.0000
Er 0.0000 0.0000 0.0000
Bi 0.5000 0.2413 0.2250
Bi 0.5000 0.7587 0.7750
Bi 0.0000 0.2577 0.7746
Bi 0.0000 0.7423 0.2254

=====

AcHo2ErBi4: optimized geometry, GGA-PBE.

Computed properties:
ΔE_f (meV/atom): -838.9
Calculated density (kg/m³): 9592
M_tot (μB/cell): 0.00
E_tot (eV/atom): -5.008
SG: P2/m (10)

abc: 4.5747 7.9134 7.9111
angles: 70.56 90.00 90.00
Atoms (fractional coordinates):
Ac 0.5000 0.5000 0.0000
Ho 0.0000 0.0000 0.0000
Ho 0.5000 0.0000 0.5000
Er 0.0000 0.5000 0.5000
Bi 0.0000 0.7660 0.7332
Bi 0.0000 0.2340 0.2668
Bi 0.5000 0.7574 0.2587
Bi 0.5000 0.2426 0.7413

=====

AcHoEr2Bi4: optimized geometry, GGA-PBE.

Computed properties:
ΔE_f (meV/atom): -834.5
Calculated density (kg/m³): 9632
M_tot (μB/cell): 0.00
E_tot (eV/atom): -5.001
SG: P2/m (10)

abc: 4.5714 7.9029 7.9070
angles: 70.55 90.00 90.00
Atoms (fractional coordinates):
Ac 0.5000 0.5000 0.0000
Ho 0.0000 0.5000 0.5000
Er 0.0000 0.0000 0.0000
Er 0.5000 0.0000 0.5000
Bi 0.0000 0.7674 0.7332
Bi 0.0000 0.2326 0.2668
Bi 0.5000 0.7592 0.2577
Bi 0.5000 0.2408 0.7423

=====

Ac4HoEr3Bi8: optimized geometry, GGA-PBE.

Computed properties:
ΔE_f (meV/atom): -892.4
Calculated density (kg/m³): 9379
M_tot (μB/cell): 0.00
E_tot (eV/atom): -5.002
SG: R-3m (166)

abc: 9.3437 9.3220 9.3438
angles: 120.08 120.00 90.00
Atoms (fractional coordinates):
Ac 0.5000 0.0000 0.0000
Ac 0.5000 0.0000 0.5000
Ac 0.0000 0.0000 0.0000
Ac 0.0000 0.0000 0.5000
Ho 0.0000 0.5000 0.0000
Er 0.5000 0.5000 0.0000
Er 0.5000 0.5000 0.5000
Er 0.0000 0.5000 0.5000
Bi 0.2419 0.7250 0.9831
Bi 0.2419 0.7250 0.4838
Bi 0.2584 0.2754 0.5169
Bi 0.7412 0.7250 0.9831
Bi 0.2588 0.2750 0.0169
Bi 0.7416 0.7246 0.4831
Bi 0.7581 0.2750 0.5162
Bi 0.7581 0.2750 0.0169

=====

AcErInBi: optimized geometry, GGA-PBE.

Computed properties:
ΔE_f (meV/atom): -429.0
Calculated density (kg/m³): 9355
M_tot (μB/cell): 0.00
E_tot (eV/atom): -4.252
SG: F-43m (216)

abc: 5.6489 5.6489 5.6489
angles: 60.00 60.00 60.00
Atoms (fractional coordinates):
Ac 0.5000 0.5000 0.5000
Er 0.0000 0.0000 0.0000
Bi 0.7500 0.7500 0.7500
In 0.2500 0.2500 0.2500